No. 1
Compound: LaPm10Y4
Source: Alexandria
Functional: PBE
Structure: optimized geometry

Values from the calculation:
Theoretical density   5731 kg/m³
Calculated total energy   -4.707 eV per atom
Formation energy from the elements   512 meV per atom

abc: 6.8471 9.6955 9.6955
angles: 82.84 69.32 69.32
Last column: nearest neighbours and their distance in Å.
Sites, in units of the cell vectors:
Pm: 0.4626 0.1618 0.4193  4 Pm 3.15-3.47, 3 Y 3.38-3.51
Pm: 0.3756 0.5807 0.1618  4 Pm 3.15-3.47, 3 Y 3.38-3.51
Pm: 0.1181 0.4193 0.8382  4 Pm 3.15-3.47, 3 Y 3.38-3.51
Pm: 0.8819 0.5807 0.1618  4 Pm 3.15-3.47, 3 Y 3.38-3.51
Pm: 0.6244 0.4193 0.8382  4 Pm 3.15-3.47, 3 Y 3.38-3.51
Pm: 0.2500 0.5000 0.5000  6 Pm 3.15-3.42
Pm: 0.0437 0.8382 0.5807  4 Pm 3.15-3.47, 3 Y 3.38-3.51
Pm: 0.5374 0.8382 0.5807  4 Pm 3.15-3.47, 3 Y 3.38-3.51
Pm: 0.9563 0.1618 0.4193  4 Pm 3.15-3.47, 3 Y 3.38-3.51
Pm: 0.7500 0.5000 0.5000  6 Pm 3.15-3.42
La: 0.0000 0.0000 0.0000  8 Y 4.20, 8 Pm 4.41
Y: 0.5671 0.1109 0.7550  6 Pm 3.38-3.51, 2 Y 3.45
Y: 0.4329 0.8891 0.2450  6 Pm 3.38-3.51, 2 Y 3.45
Y: 0.3221 0.2450 0.1109  6 Pm 3.38-3.51, 2 Y 3.45
Y: 0.6779 0.7550 0.8891  6 Pm 3.38-3.51, 2 Y 3.45

No. 2
Compound: La3Pm7Y
Source: Alexandria
Functional: PBE
Structure: optimized geometry

Values from the calculation:
Theoretical density   6339 kg/m³
Calculated total energy   -4.740 eV per atom
Formation energy from the elements   215 meV per atom

abc: 6.5477 7.8514 7.8512
angles: 81.80 86.73 86.73
Last column: nearest neighbours and their distance in Å.
Sites, in units of the cell vectors:
Pm: 0.7881 0.2387 0.2387  5 Pm 3.39-3.59, 1 Y 3.51, 3 La 3.52-3.55
Pm: 0.0000 0.5000 0.5000  2 Y 3.27, 2 La 3.33, 2 Pm 3.49
Pm: 0.2119 0.7613 0.7613  5 Pm 3.39-3.59, 1 Y 3.51, 3 La 3.52-3.55
Pm: 0.7384 0.9125 0.5692  5 Pm 3.39-3.67, 3 La 3.58-3.78, 1 Y 3.79
Pm: 0.2616 0.0875 0.4308  5 Pm 3.39-3.67, 3 La 3.58-3.78, 1 Y 3.79
Pm: 0.2616 0.4308 0.0875  5 Pm 3.39-3.67, 3 La 3.58-3.78, 1 Y 3.79
Pm: 0.7384 0.5692 0.9125  5 Pm 3.39-3.67, 3 La 3.58-3.78, 1 Y 3.79
La: 0.5000 0.0000 0.0000  6 Pm 3.52-3.78, 4 La 3.74
La: 0.0000 0.8242 0.1758  7 Pm 3.33-3.63, 1 La 3.61
La: 0.0000 0.1758 0.8242  7 Pm 3.33-3.63, 1 La 3.61
Y: 0.5000 0.5000 0.5000  4 Pm 3.27-3.51

No. 3
Compound: La2PmY2
Source: Alexandria
Functional: PBE
Structure: optimized geometry

Values from the calculation:
Theoretical density   5781 kg/m³
Calculated total energy   -5.482 eV per atom
Formation energy from the elements   25 meV per atom

abc: 3.6420 3.6420 15.0186
angles: 90.00 90.00 120.00
Last column: nearest neighbours and their distance in Å.
Sites, in units of the cell vectors:
La: 0.3333 0.6667 0.8939  9 La 3.64-3.82, 3 Y 3.66
La: 0.6667 0.3333 0.1061  9 La 3.64-3.82, 3 Y 3.66
Y: 0.3333 0.6667 0.3056  3 Pm 3.60, 6 Y 3.64, 3 La 3.66
Y: 0.6667 0.3333 0.6944  3 Pm 3.60, 6 Y 3.64, 3 La 3.66
Pm: 0.0000 0.0000 0.5000  6 Y 3.60, 6 Pm 3.64